Arrangement A

# NaCaLa2Rh, relaxed, DFT GGA-PBE
data_NaCaLa2Rh
_cell_length_a 5.4633
_cell_length_b 5.4633
_cell_length_c 6.0079
_cell_angle_alpha 90.00
_cell_angle_beta 90.00
_cell_angle_gamma 90.00
_symmetry_space_group_name_H-M 'P 4/m m m'
_symmetry_Int_Tables_number 123
_symmetry_space_group_name_Hall '-P 4 2'
loop_
_atom_site_label
_atom_site_type_symbol
_atom_site_fract_x
_atom_site_fract_y
_atom_site_fract_z
_atom_site_occupancy
Na1 Na 0.0000 0.0000 0.0000 1
Ca1 Ca 0.5000 0.5000 0.0000 1
La1 La 0.0000 0.5000 0.5000 1
Rh1 Rh 0.0000 0.0000 0.5000 1
# M_tot: 0.00 μB per atom
# DOS at the Fermi energy: 4.772 states/eV/f.u.
# calculated volume: 35.86 Å³/atom



Arrangement B

# NaCaLa2Rh, relaxed, DFT GGA-PBE
data_NaCaLa2Rh
_cell_length_a 5.5675
_cell_length_b 5.5675
_cell_length_c 5.8912
_cell_angle_alpha 90.00
_cell_angle_beta 90.00
_cell_angle_gamma 90.00
_symmetry_space_group_name_H-M 'P 4/m m m'
_symmetry_Int_Tables_number 123
_symmetry_space_group_name_Hall '-P 4 2'
loop_
_atom_site_label
_atom_site_type_symbol
_atom_site_fract_x
_atom_site_fract_y
_atom_site_fract_z
_atom_site_occupancy
Na1 Na 0.0000 0.0000 0.0000 1
Ca1 Ca 0.5000 0.5000 0.0000 1
La1 La 0.0000 0.5000 0.5000 1
Rh1 Rh 0.5000 0.5000 0.5000 1
# M_tot: 0.00 μB per atom
# DOS at the Fermi energy: 4.362 states/eV/f.u.
# calculated volume: 36.52 Å³/atom



arrangement B is the most stable structure; the next one sits 11.7 kJ/mol of atoms above it.